Arrangement 1

Below is a relaxed Mg2SeBr crystal, with properties calculated at the PBE-GGA level.

The value obtained for the density of states at the Fermi level is 0.25 states/eV/atom. The calculated density comes out at 3.58 g/cm³. For the total magnetization, the calculation gives 0.00 μB per formula unit. The crystal system is monoclinic.

The space group is P2/m (No. 10) and the conventional cell measures 3.671, 3.663 and 7.157 Å, with angles of 90.00, 90.92 and 90.00 degrees. Symmetry generates all atoms from Mg at (0.025, 0.000, 0.300), Se at (0.500, 0.500, 0.500) and Br at (0.000, 0.500, 0.000).

---

Arrangement 2

Below is a relaxed Mg2SeBr crystal, with properties calculated at the PBE-GGA level.

The value obtained for the density of states at the Fermi level is 0.36 states/eV/atom. The calculated density comes out at 2.75 g/cm³. For the total magnetization, the calculation gives 0.00 μB per formula unit. The crystal system is tetragonal.

The space group is I-42d (No. 122) and the conventional cell measures 6.321, 6.321 and 12.538 Å, with angles of 90.00, 90.00 and 90.00 degrees. Symmetry generates all atoms from Mg at (0.220, 0.250, 0.125), Se at (0.000, 0.000, 0.000) and Br at (0.000, 0.000, 0.500).

---

Arrangement 3

Below is a relaxed Mg2SeBr crystal, with properties calculated at the PBE-GGA level.

The value obtained for the density of states at the Fermi level is 0.28 states/eV/atom. The calculated density comes out at 3.32 g/cm³. For the total magnetization, the calculation gives 0.00 μB per formula unit. The crystal system is orthorhombic.

The space group is Cmmm (No. 65) and the conventional cell measures 3.928, 6.886 and 7.683 Å, with angles of 90.00, 90.00 and 90.00 degrees. Symmetry generates all atoms from Mg at (0.000, 0.000, 0.225), Se at (0.000, 0.500, 0.000) and Br at (0.000, 0.500, 0.500).

---

Arrangement 4

Below is a relaxed Mg2SeBr crystal, with properties calculated at the PBE-GGA level.

The value obtained for the density of states at the Fermi level is 0.31 states/eV/atom. The calculated density comes out at 3.85 g/cm³. For the total magnetization, the calculation gives 0.00 μB per formula unit. The crystal system is tetragonal.

The space group is P4/mmm (No. 123) and the conventional cell measures 3.530, 3.530 and 7.189 Å, with angles of 90.00, 90.00 and 90.00 degrees. Symmetry generates all atoms from Mg at (0.000, 0.000, 0.210), Se at (0.500, 0.500, 0.000) and Br at (0.500, 0.500, 0.500).

---

Which is most stable, and by how much? arrangement 2, by 33 meV per atom.

---

Arrangement 1

Below is a relaxed Mg2SeBr crystal, with properties calculated at the PBE-GGA level.

The value obtained for the density of states at the Fermi level is 0.25 states/eV/atom. The calculated density comes out at 2.64 g/cm³. For the total magnetization, the calculation gives 0.91 μB per formula unit. The crystal system is trigonal.

The space group is R3m (No. 160, hexagonal axes) and the conventional cell measures 4.1630, 4.1630 and 26.0833 Å, with angles of 90.00, 90.00 and 120.00 degrees. Symmetry generates all atoms from Mg at (0.0000, 0.0000, 0.0000), Mg at (0.0000, 0.0000, 0.2267), Se at (0.0000, 0.0000, 0.5355) and Br at (0.0000, 0.0000, 0.7179).

---

Arrangement 2

Below is a relaxed Mg2SeBr crystal, with properties calculated at the PBE-GGA level.

The value obtained for the density of states at the Fermi level is 0.30 states/eV/atom. The calculated density comes out at 3.99 g/cm³. For the total magnetization, the calculation gives 0.00 μB per formula unit. The crystal system is tetragonal.

The space group is P4/mmm (No. 123) and the conventional cell measures 4.948, 4.948 and 3.530 Å, with angles of 90.00, 90.00 and 90.00 degrees. Symmetry generates all atoms from Mg at (0.000, 0.500, 0.000), Se at (0.000, 0.000, 0.500) and Br at (0.500, 0.500, 0.500).

---

Which is most stable, and by how much? arrangement 1, by 121 meV per atom.